An optimized crystal structure of Nd2SmLu. Source: Alexandria via LeMat-Bulk, functional PBE.

Results
- raw total energy (eV/atom) = -4.6780
- energy above the lowest structure with this stoichiometry (eV per atom) = 0.0000
- energy of formation from the pure elements (eV per formula unit) = 0.1
- spin magnetization (μB per formula unit) = 0.00
- calculated volume (Å³/f.u.) = 133.0
- space-group type = P4/mmm, No. 123

Lattice parameters (Å, degrees): 5.1165 5.1165 5.0795 90.00 90.00 90.00
Fractional coordinates of all 4 atoms:
Nd 0.0000 0.5000 0.0000
Nd 0.5000 0.0000 0.0000
Sm 0.0000 0.0000 0.5000
Lu 0.5000 0.5000 0.5000